Density functional theory data (PBE) for a relaxed structure of Ta2AsAu.

```
4
Lattice="-9.2919 -2.2120 2.1795 -7.9750 -3.3240 4.6188 -8.6929 -0.4272 4.4983" Properties=species:S:1:pos:R:3 pbc="T T T"
Au -19.3749 -4.4506 8.4311
Ta -6.4185 -1.4744 2.7931
Ta -0.0043 -0.0010 0.0019
As -13.1421 -3.0188 5.7188
```

Values from the calculation:
For the theoretical density, the calculation gives 14.1 g/cm³. The value obtained for the formation energy is 0.35 eV per formula unit. Its spin magnetization is 0.00 μB/f.u. For the density of states at the Fermi level, the calculation gives 0.886 states/eV/atom. Its energy above the lowest structure with this stoichiometry is 0.175 eV per atom.